No. 1
Computed, not measured: Li2CdCoH after structural relaxation at the PBE level of DFT.

```
data_Li2CdCoH
_chemical_formula_sum 'Li2 Cd1 Co1 H1'
_symmetry_space_group_name_H-M 'P 1'
_symmetry_Int_Tables_number 1
_cell_length_a 3.9933
_cell_length_b 3.9933
_cell_length_c 3.6643
_cell_angle_alpha 90.00
_cell_angle_beta 90.00
_cell_angle_gamma 90.00
loop_
_symmetry_equiv_pos_as_xyz
'x,y,z'
loop_
_atom_site_label
_atom_site_fract_x
_atom_site_fract_y
_atom_site_fract_z
Li1 0.0000 0.5000 0.0000
Li2 0.5000 0.0000 0.0000
Cd1 0.0000 0.0000 0.5000
Co1 0.5000 0.5000 0.5000
H1 0.5000 0.5000 0.0000
```

Output
Symmetry: P4/mmm, No. 123
Total magnetization (μB per atom): 0.2181
Raw total energy (eV per atom): -3.081
Calculated volume (Å³/cell): 58


No. 2
Computed, not measured: CaFeCl2 after structural relaxation at the PBE level of DFT.

```
data_CaFeCl2
_chemical_formula_sum 'Ca4 Fe4 Cl8'
_symmetry_space_group_name_H-M 'P 1'
_symmetry_Int_Tables_number 1
_cell_length_a 7.1510
_cell_length_b 7.1510
_cell_length_c 7.1510
_cell_angle_alpha 90.00
_cell_angle_beta 90.00
_cell_angle_gamma 90.00
loop_
_symmetry_equiv_pos_as_xyz
'x,y,z'
loop_
_atom_site_label
_atom_site_fract_x
_atom_site_fract_y
_atom_site_fract_z
Ca1 0.0000 0.0000 0.0000
Ca2 0.0000 0.5000 0.5000
Ca3 0.5000 0.0000 0.5000
Ca4 0.5000 0.5000 0.0000
Fe1 0.2500 0.2500 0.2500
Fe2 0.2500 0.7500 0.7500
Fe3 0.7500 0.2500 0.7500
Fe4 0.7500 0.7500 0.2500
Cl1 0.0000 0.0000 0.5000
Cl2 0.0000 0.5000 0.0000
Cl3 0.2500 0.2500 0.7500
Cl4 0.2500 0.7500 0.2500
Cl5 0.5000 0.0000 0.0000
Cl6 0.5000 0.5000 0.5000
Cl7 0.7500 0.2500 0.2500
Cl8 0.7500 0.7500 0.7500
```

Output
Symmetry: F-43m, No. 216
Total magnetization (μB per atom): 1.0014
ΔE to the lowest computed polymorph (meV/atom): 628
Calculated volume (Å³/cell): 366
Uncorrected formation energy (meV/atom): -198


Short version: DOS at the Fermi energy = 3.31 9.24 states/eV/f.u., in the order given.